An optimized crystal structure of CsFeNi3. Source: the Alexandria database, functional PBE.

Cell: 4.6063 4.6063 4.6063 Å, 90.00 90.00 90.00°
Each line ends with the local moment (μB).
Fractional positions:
Cs (0.5000, 0.5000, 0.5000)  -0.03
Ni (0.0000, 0.5000, 0.0000)  0.67
Ni (0.0000, 0.0000, 0.5000)  0.87
Ni (0.5000, 0.0000, 0.0000)  0.40
Fe (0.0000, 0.0000, 0.0000)  2.71

Output
The calculation puts the total DFT energy (no corrections) at -4.30 eV per atom. The formation energy is 1.028 eV/atom. The calculation puts the energy above the most stable polymorph in this dataset at 0.000 eV per atom.